A geometry-optimized UPd2Au structure, computed with GGA-PBE.

a b c (Å): 6.718 6.718 6.718
angles (deg): 90.00 90.00 90.00
Element x y z (fractional)
U 0.000 0.000 0.000
U 0.000 0.500 0.500
U 0.500 0.000 0.500
U 0.500 0.500 0.000
Pd 0.250 0.250 0.250
Pd 0.250 0.250 0.750
Pd 0.250 0.750 0.250
Pd 0.250 0.750 0.750
Pd 0.750 0.250 0.250
Pd 0.750 0.250 0.750
Pd 0.750 0.750 0.250
Pd 0.750 0.750 0.750
Au 0.000 0.000 0.500
Au 0.000 0.500 0.000
Au 0.500 0.000 0.000
Au 0.500 0.500 0.500

Properties
energy of formation from the pure elements = -7.56 kcal/mol of atoms
space group = Fm-3m (225)
spin magnetization = 2.22 μB per formula unit
total DFT energy (no corrections) = -105.1 eV for the cell shown

=====

A geometry-optimized UPd4Au2 structure, computed with GGA-PBE.

a b c (Å): 5.896 6.423 7.720
angles (deg): 113.77 99.67 104.42
Element x y z (fractional)
U 0.000 0.000 0.000
U 0.355 0.878 0.566
Pd 0.063 0.574 0.696
Pd 0.119 0.141 0.413
Pd 0.281 0.275 0.851
Pd 0.416 0.420 0.279
Pd 0.491 0.990 0.982
Pd 0.626 0.131 0.419
Pd 0.716 0.714 0.115
Pd 0.786 0.277 0.852
Au 0.225 0.696 0.122
Au 0.555 0.550 0.692
Au 0.848 0.863 0.557
Au 0.899 0.431 0.271

Properties
ΔE to the lowest computed polymorph = 0.000 eV/atom
energy of formation from the pure elements = -6.94 kcal/mol of atoms
space group = P1 (1)
spin magnetization = 1.70 μB per formula unit
total DFT energy (no corrections) = -81.4 eV for the cell shown

=====

A geometry-optimized UPd4Au3 structure, computed with GGA-PBE.

a b c (Å): 12.824 4.780 5.125
angles (deg): 90.00 111.61 90.00
Element x y z (fractional)
U 0.000 0.000 0.000
U 0.500 0.500 0.000
Pd 0.119 0.000 0.565
Pd 0.244 0.000 0.154
Pd 0.256 0.500 0.846
Pd 0.381 0.500 0.435
Pd 0.619 0.500 0.565
Pd 0.744 0.500 0.154
Pd 0.756 0.000 0.846
Pd 0.881 0.000 0.435
Au 0.000 0.500 0.500
Au 0.151 0.500 0.243
Au 0.349 0.000 0.757
Au 0.500 0.000 0.500
Au 0.651 0.000 0.243
Au 0.849 0.500 0.757

Properties
ΔE to the lowest computed polymorph = 0.056 eV/atom
energy of formation from the pure elements = -5.14 kcal/mol of atoms
space group = C2/m (12)
spin magnetization = 1.89 μB per formula unit
total DFT energy (no corrections) = -87.3 eV for the cell shown

=====

Q: Which value of energy of formation from the pure elements does entry 2 give?
A: -6.94 kcal/mol of atoms

=====

Q: The highest spin magnetization belongs to which entry?
A: UPd2Au